1.
Here is a relaxed RuPt2Cl crystal from Alexandria. Energies are from GGA-PBE.

Output
Space-group type   No. 44
Fermi-level density of states   4.77 states/eV per cell
E_form (uncorrected)   533 meV per atom
Crystal system   orthorhombic
ΔE to the lowest computed polymorph   297 meV per atom

```
data_RuPt2Cl
_chemical_formula_sum 'Ru1 Pt2 Cl1'
_cell_length_a 5.623
_cell_length_b 5.623
_cell_length_c 5.623
_cell_angle_alpha 151.68
_cell_angle_beta 128.40
_cell_angle_gamma 59.91
_symmetry_space_group_name_H-M 'P 1'
_symmetry_Int_Tables_number 1
loop_
_symmetry_equiv_pos_as_xyz
'x,y,z'
loop_
_atom_site_label
_atom_site_fract_x
_atom_site_fract_y
_atom_site_fract_z
Cl1 0.292 0.792 0.500
Ru1 0.498 0.498 0.000
Pt1 0.727 0.227 0.500
Pt2 0.983 0.983 0.000
```


2.
Here is a relaxed Li8TlAg4 crystal from Alexandria. Energies are from GGA-PBE.

Output
ΔE_f   -0.13 eV per atom
Space-group type   No. 25
Fermi-level density of states   3.76 states/eV per cell
Crystal system   orthorhombic

```
data_Li8TlAg4
_chemical_formula_sum 'Li8 Tl1 Ag4'
_cell_length_a 4.662
_cell_length_b 2.995
_cell_length_c 16.466
_cell_angle_alpha 90.00
_cell_angle_beta 90.00
_cell_angle_gamma 90.00
_symmetry_space_group_name_H-M 'P 1'
_symmetry_Int_Tables_number 1
loop_
_symmetry_equiv_pos_as_xyz
'x,y,z'
loop_
_atom_site_label
_atom_site_fract_x
_atom_site_fract_y
_atom_site_fract_z
Tl1 0.000 0.000 0.330
Li1 0.500 0.000 0.232
Ag1 0.500 0.500 0.430
Li2 0.500 0.500 0.046
Li3 0.000 0.500 0.178
Li4 0.000 0.000 0.775
Li5 0.500 0.000 0.584
Li6 0.500 0.500 0.745
Ag2 0.000 0.500 0.638
Li7 0.000 0.500 0.915
Ag3 0.000 0.000 0.047
Ag4 0.500 0.000 0.888
Li8 0.000 0.000 0.495
```


3.
Here is a relaxed AgBrO crystal from Alexandria. Energies are from GGA-PBE.

Output
Space-group type   No. 2
E_form (uncorrected)   -203 meV per atom
Crystal system   triclinic

```
data_AgBrO
_chemical_formula_sum 'Ag2 Br2 O2'
_cell_length_a 10.598
_cell_length_b 4.458
_cell_length_c 12.636
_cell_angle_alpha 78.13
_cell_angle_beta 159.92
_cell_angle_gamma 92.15
_symmetry_space_group_name_H-M 'P 1'
_symmetry_Int_Tables_number 1
loop_
_symmetry_equiv_pos_as_xyz
'x,y,z'
loop_
_atom_site_label
_atom_site_fract_x
_atom_site_fract_y
_atom_site_fract_z
Br1 0.533 0.552 0.292
Ag1 0.882 0.540 0.362
Br2 0.697 0.179 0.094
O1 0.613 0.271 0.662
O2 0.617 0.460 0.724
Ag2 0.348 0.191 0.024
```


| no. | calculated volume (Å³ per atom) | calculated total energy (eV/cell) |
| --- | --- | --- |
| 1 | 16.40 | -21.070 |
| 2 | 17.68 | -30.803 |
| 3 | 29.62 | -20.182 |